Record 1
Density functional theory data (PBE-GGA) for TaNiOs after structural relaxation.

Properties
Final energy = -9.9641 eV/atom
Formation energy = -0.343 eV/atom

abc: 4.303 4.303 5.323
angles: 90.00 90.00 120.00
Fractional positions:
Ta  0.333  0.667  0.250
Ta  0.667  0.333  0.750
Ni  0.333  0.667  0.750
Ni  0.667  0.333  0.250
Os  0.000  0.000  0.000
Os  0.000  0.000  0.500

Record 2
Density functional theory data (PBE-GGA) for ScHgAsC2 after structural relaxation.

Properties
Final energy = -4.2778 eV/atom
Formation energy = 1.668 eV/atom

abc: 4.313 4.313 5.287
angles: 90.00 90.00 90.00
Fractional positions:
Sc  0.000  0.000  0.000
Hg  0.500  0.500  0.500
As  0.000  0.000  0.500
C  0.000  0.500  0.000
C  0.500  0.000  0.000

Record 3
Density functional theory data (PBE-GGA) for CsCeCuCl6 after structural relaxation.

Properties
Final energy = -4.0596 eV/atom
Energy relative to the elements, uncorrected = -14.573 eV per formula unit

abc: 9.812 9.812 9.812
angles: 127.34 117.40 86.17
Fractional positions:
Cs  0.283  0.033  0.250
Cs  0.717  0.967  0.750
Ce  0.000  0.500  0.500
Ce  0.500  0.500  0.000
Cu  0.000  0.000  0.500
Cu  0.000  0.500  0.000
Cl  0.039  0.789  0.250
Cl  0.058  0.394  0.217
Cl  0.058  0.841  0.664
Cl  0.323  0.159  0.717
Cl  0.323  0.606  0.164
Cl  0.327  0.577  0.750
Cl  0.673  0.423  0.250
Cl  0.677  0.394  0.836
Cl  0.677  0.841  0.283
Cl  0.942  0.159  0.336
Cl  0.942  0.606  0.783
Cl  0.961  0.211  0.750

Record 4
Density functional theory data (PBE-GGA) for V4SbSe8 after structural relaxation.

Properties
Final energy = -5.8654 eV/atom
Energy relative to the elements, uncorrected = -7.777 eV per formula unit

abc: 7.383 7.383 7.383
angles: 60.00 60.00 60.00
Fractional positions:
V  0.399  0.399  0.399
V  0.399  0.399  0.803
V  0.399  0.803  0.399
V  0.803  0.399  0.399
Sb  0.000  0.000  0.000
Se  0.112  0.629  0.629
Se  0.146  0.146  0.146
Se  0.146  0.146  0.563
Se  0.146  0.563  0.146
Se  0.563  0.146  0.146
Se  0.629  0.112  0.629
Se  0.629  0.629  0.112
Se  0.629  0.629  0.629

Record 5
Density functional theory data (PBE-GGA) for Ho2B6Rh after structural relaxation.

Properties
Final energy = -6.9333 eV/atom
Formation energy = -0.648 eV/atom

abc: 9.166 11.491 3.651
angles: 90.00 90.00 90.00
Fractional positions:
Ho  0.055  0.126  0.000
Ho  0.177  0.413  0.000
Ho  0.323  0.913  0.000
Ho  0.445  0.626  0.000
Ho  0.555  0.374  0.000
Ho  0.677  0.087  0.000
Ho  0.823  0.587  0.000
Ho  0.945  0.874  0.000
B  0.018  0.287  0.500
B  0.052  0.566  0.500
B  0.113  0.969  0.500
B  0.134  0.815  0.500
B  0.206  0.235  0.500
B  0.249  0.579  0.500
B  0.251  0.079  0.500
B  0.294  0.735  0.500
B  0.366  0.315  0.500
B  0.387  0.469  0.500
B  0.448  0.066  0.500
B  0.482  0.787  0.500
B  0.518  0.213  0.500
B  0.552  0.934  0.500
B  0.613  0.531  0.500
B  0.634  0.685  0.500
B  0.706  0.265  0.500
B  0.749  0.921  0.500
B  0.751  0.421  0.500
B  0.794  0.765  0.500
B  0.866  0.185  0.500
B  0.887  0.031  0.500
B  0.948  0.434  0.500
B  0.982  0.713  0.500
Rh  0.139  0.679  0.000
Rh  0.361  0.179  0.000
Rh  0.639  0.821  0.000
Rh  0.861  0.321  0.000

Record 6
Density functional theory data (PBE-GGA) for SrZn2Fe after structural relaxation.

Properties
Final energy = -3.1125 eV/atom
Formation energy = 0.061 eV/atom

abc: 6.071 6.071 6.071
angles: 41.63 41.63 41.63
Fractional positions:
Sr  0.000  0.000  0.000
Zn  0.196  0.196  0.196
Zn  0.804  0.804  0.804
Fe  0.500  0.500  0.500

Q: What is the final energy in the second record?
A: -4.2778 eV/atom

Q: What is the formula in the second record?
A: ScHgAsC2

Repeat the sixth record exactly.
Density functional theory data (PBE-GGA) for SrZn2Fe after structural relaxation.

Properties
Final energy = -3.1125 eV/atom
Formation energy = 0.061 eV/atom

abc: 6.071 6.071 6.071
angles: 41.63 41.63 41.63
Fractional positions:
Sr  0.000  0.000  0.000
Zn  0.196  0.196  0.196
Zn  0.804  0.804  0.804
Fe  0.500  0.500  0.500

Q: Which of these has the highest final energy?
A: SrZn2Fe